Here is a geometry-optimized Na3PuCl7 structure from Alexandria via LeMat-Bulk. Energies are from GGA-PBE.

Lattice parameters (Å, degrees): 7.0772 7.0772 7.6628 113.69 113.69 74.10
With the nearest neighbours (Å) after each atom.
Element x y z (fractional)
Na1 0.0000 0.0000 0.0000  6 Cl 2.73-2.95
Na2 0.2921 0.7366 0.4523  5 Cl 2.72-2.94
Na3 0.7366 0.2921 0.4523  5 Cl 2.72-2.94
Pu1 0.6068 0.6068 0.0285  7 Cl 2.64-2.92
Cl1 0.2359 0.6768 0.7692  1 Pu 2.64, 2 Na 2.82-2.86
Cl2 0.4198 0.4198 0.1429  1 Pu 2.66, 2 Na 2.79
Cl3 0.4327 0.9402 0.2679  1 Pu 2.68, 2 Na 2.94-2.95
Cl4 0.6768 0.2359 0.7692  1 Pu 2.64, 2 Na 2.82-2.86
Cl5 0.6991 0.6991 0.7576  1 Pu 2.75, 3 Na 2.92-2.94
Cl6 0.9059 0.9059 0.2651  3 Na 2.72-2.73, 1 Pu 2.92
Cl7 0.9402 0.4327 0.2679  1 Pu 2.68, 2 Na 2.94-2.95

The symmetry is Cm. The volume comes out at 319 Å³ per cell. The value obtained for the total energy is -4.54 eV/atom. The formation energy from raw total energies comes out at -164 kJ per mole of atoms. Its crystal system is monoclinic.